First-principles (PBE-GGA) data for a geometry-optimized TiTlNi2Cl structure, as listed in the Alexandria database.

Cell lengths 4.750, 4.750, 5.450 Å; angles 90.00, 90.00, 90.00 degrees
Atoms (fractional coordinates):
Ti: 0.000 0.000 0.000
Tl: 0.500 0.500 0.500
Ni: 0.000 0.500 0.500
Ni: 0.500 0.000 0.500
Cl: 0.500 0.500 0.000

Output
As for the space-group type: P4/mmm, No. 123.

First-principles (PBE-GGA) data for a geometry-optimized YTiNiCl2 structure, as listed in the Alexandria database.

Cell lengths 4.520, 4.520, 6.645 Å; angles 90.00, 90.00, 90.00 degrees
Atoms (fractional coordinates):
Y: 0.000 0.000 0.000
Ti: 0.000 0.000 0.500
Ni: 0.500 0.500 0.000
Cl: 0.000 0.500 0.500
Cl: 0.500 0.000 0.500

Output
As for the space-group type: P4/mmm, No. 123.

First-principles (PBE-GGA) data for a geometry-optimized TlNiCl2 structure, as listed in the Alexandria database.

Cell lengths 3.566, 3.566, 24.737 Å; angles 90.00, 90.00, 120.00 degrees
Atoms (fractional coordinates):
Tl: 0.000 0.000 0.000
Tl: 0.333 0.667 0.667
Tl: 0.667 0.333 0.333
Ni: 0.000 0.000 0.500
Ni: 0.333 0.667 0.167
Ni: 0.667 0.333 0.833
Cl: 0.000 0.000 0.220
Cl: 0.000 0.000 0.780
Cl: 0.333 0.667 0.446
Cl: 0.333 0.667 0.887
Cl: 0.667 0.333 0.113
Cl: 0.667 0.333 0.554

Output
As for the space-group type: R-3m, No. 166.

First-principles (PBE-GGA) data for a geometry-optimized TlNiCl4 structure, as listed in the Alexandria database.

Cell lengths 6.047, 6.047, 6.047 Å; angles 60.00, 60.00, 60.00 degrees
Atoms (fractional coordinates):
Tl: 0.000 0.000 0.000
Ni: 0.250 0.250 0.250
Cl: 0.126 0.625 0.625
Cl: 0.625 0.126 0.625
Cl: 0.625 0.625 0.126
Cl: 0.625 0.625 0.625

Output
As for the space-group type: F-43m, No. 216.

First-principles (PBE-GGA) data for a geometry-optimized TlNiCl2 structure, as listed in the Alexandria database.

Cell lengths 3.434, 6.803, 8.566 Å; angles 90.00, 90.00, 90.00 degrees
Atoms (fractional coordinates):
Tl: 0.000 0.000 0.000
Tl: 0.500 0.500 0.000
Ni: 0.000 0.000 0.500
Ni: 0.500 0.500 0.500
Cl: 0.000 0.500 0.318
Cl: 0.000 0.500 0.682
Cl: 0.500 0.000 0.318
Cl: 0.500 0.000 0.682

Output
As for the space-group type: Cmmm, No. 65.

First-principles (PBE-GGA) data for a geometry-optimized TlNiCl2 structure, as listed in the Alexandria database.

Cell lengths 7.529, 7.529, 6.700 Å; angles 90.00, 90.00, 90.00 degrees
Atoms (fractional coordinates):
Tl: 0.000 0.000 0.000
Tl: 0.000 0.500 0.250
Tl: 0.500 0.000 0.750
Tl: 0.500 0.500 0.500
Ni: 0.000 0.000 0.500
Ni: 0.000 0.500 0.750
Ni: 0.500 0.000 0.250
Ni: 0.500 0.500 0.000
Cl: 0.140 0.250 0.625
Cl: 0.250 0.640 0.875
Cl: 0.250 0.860 0.375
Cl: 0.360 0.250 0.125
Cl: 0.640 0.750 0.125
Cl: 0.750 0.140 0.375
Cl: 0.750 0.360 0.875
Cl: 0.860 0.750 0.625

Output
As for the space-group type: I-42d, No. 122.

First-principles (PBE-GGA) data for a geometry-optimized TlNiCl2 structure, as listed in the Alexandria database.

Cell lengths 7.032, 7.032, 7.032 Å; angles 90.00, 90.00, 90.00 degrees
Atoms (fractional coordinates):
Tl: 0.000 0.000 0.000
Tl: 0.000 0.500 0.500
Tl: 0.500 0.000 0.500
Tl: 0.500 0.500 0.000
Ni: 0.250 0.250 0.750
Ni: 0.250 0.750 0.250
Ni: 0.750 0.250 0.250
Ni: 0.750 0.750 0.750
Cl: 0.000 0.000 0.500
Cl: 0.000 0.500 0.000
Cl: 0.250 0.250 0.250
Cl: 0.250 0.750 0.750
Cl: 0.500 0.000 0.000
Cl: 0.500 0.500 0.500
Cl: 0.750 0.250 0.750
Cl: 0.750 0.750 0.250

Output
As for the space-group type: F-43m, No. 216.

First-principles (PBE-GGA) data for a geometry-optimized TlNi3Cl structure, as listed in the Alexandria database.

Cell lengths 4.865, 4.865, 4.865 Å; angles 90.00, 90.00, 90.00 degrees
Atoms (fractional coordinates):
Tl: 0.000 0.000 0.000
Ni: 0.000 0.000 0.500
Ni: 0.000 0.500 0.000
Ni: 0.500 0.000 0.000
Cl: 0.500 0.500 0.500

Output
As for the space-group type: Pm-3m, No. 221.

First-principles (PBE-GGA) data for a geometry-optimized TlNiCl2 structure, as listed in the Alexandria database.

Cell lengths 3.473, 3.473, 8.027 Å; angles 90.00, 90.00, 90.00 degrees
Atoms (fractional coordinates):
Tl: 0.000 0.000 0.000
Ni: 0.500 0.500 0.516
Cl: 0.000 0.000 0.576
Cl: 0.500 0.500 0.230

Output
As for the space-group type: P4mm, No. 99.

First-principles (PBE-GGA) data for a geometry-optimized TlNiCl5 structure, as listed in the Alexandria database.

Cell lengths 7.523, 7.667, 7.919 Å; angles 96.86, 106.70, 107.67 degrees
Atoms (fractional coordinates):
Tl: 0.153 0.414 0.200
Tl: 0.847 0.586 0.800
Ni: 0.000 0.000 0.500
Ni: 0.500 0.000 0.500
Cl: 0.094 0.297 0.500
Cl: 0.213 0.635 0.957
Cl: 0.266 0.178 0.083
Cl: 0.309 0.036 0.657
Cl: 0.385 0.696 0.478
Cl: 0.615 0.304 0.522
Cl: 0.691 0.964 0.343
Cl: 0.734 0.822 0.917
Cl: 0.787 0.365 0.043
Cl: 0.906 0.703 0.500

Output
As for the space-group type: P-1, No. 2.

First-principles (PBE-GGA) data for a geometry-optimized Tl4NiCl5 structure, as listed in the Alexandria database.

Cell lengths 7.535, 7.535, 7.535 Å; angles 100.31, 100.31, 129.96 degrees
Atoms (fractional coordinates):
Tl: 0.086 0.303 0.389
Tl: 0.303 0.914 0.217
Tl: 0.697 0.086 0.783
Tl: 0.914 0.697 0.611
Ni: 0.502 0.502 0.000
Cl: 0.273 0.597 0.870
Cl: 0.403 0.273 0.676
Cl: 0.597 0.727 0.324
Cl: 0.727 0.403 0.130
Cl: 0.997 0.997 0.000

Output
As for the space-group type: I4, No. 79.

First-principles (PBE-GGA) data for a geometry-optimized Tl3Ni2Cl7 structure, as listed in the Alexandria database.

Cell lengths 13.082, 13.082, 13.082 Å; angles 158.70, 158.70, 30.30 degrees
Atoms (fractional coordinates):
Tl: 0.000 0.000 0.000
Tl: 0.181 0.181 0.000
Tl: 0.819 0.819 0.000
Ni: 0.405 0.405 0.000
Ni: 0.595 0.595 0.000
Cl: 0.094 0.594 0.500
Cl: 0.314 0.314 0.000
Cl: 0.406 0.906 0.500
Cl: 0.500 0.500 0.000
Cl: 0.594 0.094 0.500
Cl: 0.686 0.686 0.000
Cl: 0.906 0.406 0.500

Output
As for the space-group type: I4/mmm, No. 139.

First-principles (PBE-GGA) data for a geometry-optimized TlNiCl2 structure, as listed in the Alexandria database.

Cell lengths 7.169, 7.169, 7.169 Å; angles 90.00, 90.00, 90.00 degrees
Atoms (fractional coordinates):
Tl: 0.000 0.000 0.000
Tl: 0.000 0.500 0.500
Tl: 0.500 0.000 0.500
Tl: 0.500 0.500 0.000
Ni: 0.000 0.000 0.500
Ni: 0.000 0.500 0.000
Ni: 0.500 0.000 0.000
Ni: 0.500 0.500 0.500
Cl: 0.250 0.250 0.250
Cl: 0.250 0.250 0.750
Cl: 0.250 0.750 0.250
Cl: 0.250 0.750 0.750
Cl: 0.750 0.250 0.250
Cl: 0.750 0.250 0.750
Cl: 0.750 0.750 0.250
Cl: 0.750 0.750 0.750

Output
As for the space-group type: Fm-3m, No. 225.

First-principles (PBE-GGA) data for a geometry-optimized Tl4NiCl structure, as listed in the Alexandria database.

Cell lengths 6.361, 6.361, 6.361 Å; angles 60.00, 60.00, 60.00 degrees
Atoms (fractional coordinates):
Tl: 0.125 0.125 0.125
Tl: 0.125 0.125 0.624
Tl: 0.125 0.624 0.125
Tl: 0.624 0.125 0.125
Ni: 0.500 0.500 0.500
Cl: 0.750 0.750 0.750

Output
As for the space-group type: F-43m, No. 216.

First-principles (PBE-GGA) data for a geometry-optimized TlNiCl6 structure, as listed in the Alexandria database.

Cell lengths 6.144, 6.246, 6.544 Å; angles 65.41, 63.67, 62.97 degrees
Atoms (fractional coordinates):
Tl: 0.000 0.000 0.000
Ni: 0.500 0.500 0.500
Cl: 0.126 0.432 0.730
Cl: 0.266 0.893 0.259
Cl: 0.444 0.720 0.727
Cl: 0.556 0.280 0.273
Cl: 0.734 0.107 0.741
Cl: 0.874 0.568 0.270

Output
As for the space-group type: P-1, No. 2.

First-principles (PBE-GGA) data for a geometry-optimized TlNiCl2 structure, as listed in the Alexandria database.

Cell lengths 7.299, 7.332, 3.610 Å; angles 90.00, 100.30, 90.00 degrees
Atoms (fractional coordinates):
Tl: 0.000 0.000 0.000
Tl: 0.500 0.500 0.000
Ni: 0.000 0.500 0.000
Ni: 0.500 0.000 0.000
Cl: 0.250 0.250 0.500
Cl: 0.250 0.750 0.500
Cl: 0.750 0.250 0.500
Cl: 0.750 0.750 0.500

Output
As for the space-group type: C2/m, No. 12.

First-principles (PBE-GGA) data for a geometry-optimized TlNiCl2 structure, as listed in the Alexandria database.

Cell lengths 5.011, 3.819, 6.396 Å; angles 90.00, 112.90, 90.00 degrees
Atoms (fractional coordinates):
Tl: 0.000 0.000 0.000
Ni: 0.613 0.500 0.232
Cl: 0.430 0.500 0.860
Cl: 0.707 0.000 0.418

Output
As for the space-group type: Pm, No. 6.

First-principles (PBE-GGA) data for a geometry-optimized Tl3NiCl structure, as listed in the Alexandria database.

Cell lengths 5.828, 5.828, 5.828 Å; angles 90.00, 90.00, 90.00 degrees
Atoms (fractional coordinates):
Tl: 0.000 0.000 0.500
Tl: 0.000 0.500 0.000
Tl: 0.500 0.000 0.000
Ni: 0.500 0.500 0.500
Cl: 0.000 0.000 0.000

Output
As for the space-group type: Pm-3m, No. 221.

First-principles (PBE-GGA) data for a geometry-optimized TlNiCl2 structure, as listed in the Alexandria database.

Cell lengths 4.026, 4.026, 12.577 Å; angles 90.00, 90.00, 90.00 degrees
Atoms (fractional coordinates):
Tl: 0.000 0.000 0.000
Tl: 0.500 0.500 0.500
Ni: 0.000 0.500 0.250
Ni: 0.500 0.000 0.750
Cl: 0.000 0.000 0.500
Cl: 0.000 0.500 0.750
Cl: 0.500 0.000 0.250
Cl: 0.500 0.500 0.000

Output
As for the space-group type: I-4m2, No. 119.

First-principles (PBE-GGA) data for a geometry-optimized TlNiCl4 structure, as listed in the Alexandria database.

Cell lengths 6.551, 3.615, 7.592 Å; angles 90.00, 111.78, 90.00 degrees
Atoms (fractional coordinates):
Tl: 0.000 0.000 0.000
Ni: 0.500 0.500 0.500
Cl: 0.246 0.000 0.461
Cl: 0.432 0.500 0.191
Cl: 0.568 0.500 0.809
Cl: 0.754 0.000 0.539

Output
As for the space-group type: P2/m, No. 10.

First-principles (PBE-GGA) data for a geometry-optimized Tl2NiCl5 structure, as listed in the Alexandria database.

Cell lengths 7.151, 7.151, 9.248 Å; angles 90.00, 90.00, 90.00 degrees
Atoms (fractional coordinates):
Tl: 0.000 0.500 0.000
Tl: 0.000 0.500 0.500
Tl: 0.500 0.000 0.000
Tl: 0.500 0.000 0.500
Ni: 0.000 0.000 0.237
Ni: 0.500 0.500 0.737
Cl: 0.000 0.000 0.989
Cl: 0.218 0.218 0.265
Cl: 0.218 0.782 0.265
Cl: 0.282 0.282 0.765
Cl: 0.282 0.718 0.765
Cl: 0.500 0.500 0.489
Cl: 0.718 0.282 0.765
Cl: 0.718 0.718 0.765
Cl: 0.782 0.218 0.265
Cl: 0.782 0.782 0.265

Output
As for the space-group type: I4mm, No. 107.

First-principles (PBE-GGA) data for a geometry-optimized Tl3NiCl structure, as listed in the Alexandria database.

Cell lengths 5.151, 5.151, 5.151 Å; angles 90.00, 90.00, 90.00 degrees
Atoms (fractional coordinates):
Tl: 0.000 0.000 0.500
Tl: 0.000 0.500 0.000
Tl: 0.500 0.000 0.000
Ni: 0.000 0.000 0.000
Cl: 0.500 0.500 0.500

Output
As for the space-group type: Pm-3m, No. 221.

First-principles (PBE-GGA) data for a geometry-optimized TlNiCl2 structure, as listed in the Alexandria database.

Cell lengths 3.340, 3.340, 7.638 Å; angles 90.00, 90.00, 90.00 degrees
Atoms (fractional coordinates):
Tl: 0.000 0.000 0.000
Ni: 0.000 0.000 0.500
Cl: 0.500 0.500 0.302
Cl: 0.500 0.500 0.698

Output
As for the space-group type: P4/mmm, No. 123.

First-principles (PBE-GGA) data for a geometry-optimized Tl2Ni3Cl8 structure, as listed in the Alexandria database.

Cell lengths 8.494, 8.494, 6.275 Å; angles 105.04, 105.04, 50.56 degrees
Atoms (fractional coordinates):
Tl: 0.229 0.229 0.168
Tl: 0.771 0.771 0.832
Ni: 0.247 0.753 0.500
Ni: 0.500 0.500 0.000
Ni: 0.753 0.247 0.500
Cl: 0.095 0.095 0.445
Cl: 0.182 0.643 0.118
Cl: 0.357 0.818 0.882
Cl: 0.411 0.411 0.608
Cl: 0.589 0.589 0.392
Cl: 0.643 0.182 0.118
Cl: 0.818 0.357 0.882
Cl: 0.905 0.905 0.555

Output
As for the space-group type: C2/m, No. 12.

First-principles (PBE-GGA) data for a geometry-optimized TlNi4Cl8 structure, as listed in the Alexandria database.

Cell lengths 8.686, 8.686, 8.686 Å; angles 48.01, 48.01, 48.01 degrees
Atoms (fractional coordinates):
Tl: 0.000 0.000 0.000
Ni: 0.000 0.000 0.500
Ni: 0.000 0.500 0.000
Ni: 0.500 0.000 0.000
Ni: 0.500 0.500 0.500
Cl: 0.222 0.222 0.222
Cl: 0.227 0.723 0.723
Cl: 0.277 0.277 0.773
Cl: 0.277 0.773 0.277
Cl: 0.723 0.227 0.723
Cl: 0.723 0.723 0.227
Cl: 0.773 0.277 0.277
Cl: 0.778 0.778 0.778

Output
As for the space-group type: R-3m, No. 166.

First-principles (PBE-GGA) data for a geometry-optimized TlNiCl3 structure, as listed in the Alexandria database.

Cell lengths 7.555, 7.555, 7.555 Å; angles 128.34, 127.69, 76.61 degrees
Atoms (fractional coordinates):
Tl: 0.235 0.235 0.000
Tl: 0.765 0.765 0.000
Ni: 0.000 0.500 0.500
Ni: 0.500 0.500 0.000
Cl: 0.206 0.706 0.500
Cl: 0.270 0.265 0.535
Cl: 0.270 0.735 0.005
Cl: 0.730 0.265 0.995
Cl: 0.730 0.735 0.465
Cl: 0.794 0.294 0.500

Output
As for the space-group type: Immm, No. 71.

| no. | E_form (uncorrected) (meV per atom) | total moment (μB/f.u.) |
| --- | --- | --- |
| 1 | 1225 | 0.2 |
| 2 | -60 | 1.0 |
| 3 | -446 | 1.3 |
| 4 | 533 | 3.1 |
| 5 | -413 | 1.3 |
| 6 | -535 | 1.0 |
| 7 | 213 | 1.0 |
| 8 | 1299 | 1.1 |
| 9 | -367 | 1.0 |
| 10 | -528 | 0.1 |
| 11 | -760 | 1.0 |
| 12 | -745 | 0.6 |
| 13 | 5 | 1.0 |
| 14 | 395 | 0.7 |
| 15 | -457 | 1.0 |
| 16 | -11 | 1.0 |
| 17 | -509 | 1.0 |
| 18 | 503 | 0.6 |
| 19 | 3 | 0.9 |
| 20 | -580 | 1.0 |
| 21 | -756 | 0.9 |
| 22 | -303 | 0.0 |
| 23 | -126 | 1.0 |
| 24 | -685 | 6.1 |
| 25 | -587 | 7.0 |
| 26 | -718 | 1.0 |